A plane-wave DFT calculation with PBE-GGA was carried out for a relaxed Pm3CdHg12 crystal.

Calculated values
- DFT formation energy: -0.2725 eV/atom
- Space group: No. 123
- DOS(E_F): 0.643 states/eV per atom

The structure in CIF format:
```
data_Pm3CdHg12
_chemical_formula_sum 'Pm3 Cd1 Hg12'
_cell_length_a 4.7138
_cell_length_b 4.7138
_cell_length_c 18.1325
_cell_angle_alpha 90.00
_cell_angle_beta 90.00
_cell_angle_gamma 90.00
_space_group_name_H-M_alt 'P 1'
_space_group_IT_number 1
loop_
_space_group_symop_operation_xyz
'x,y,z'
loop_
_atom_site_label
_atom_site_fract_x
_atom_site_fract_y
_atom_site_fract_z
Pm1 0.0000 0.0000 0.7623
Pm2 0.0000 0.0000 0.5000
Pm3 0.0000 0.0000 0.2377
Hg1 0.0000 0.5000 0.1183
Hg2 0.0000 0.5000 0.6282
Hg3 0.5000 0.5000 0.7522
Hg4 0.5000 0.0000 0.6282
Hg5 0.5000 0.0000 0.1183
Hg6 0.5000 0.0000 0.3718
Hg7 0.0000 0.5000 0.3718
Hg8 0.5000 0.5000 0.5000
Hg9 0.5000 0.5000 0.2478
Hg10 0.5000 0.0000 0.8817
Hg11 0.5000 0.5000 0.0000
Hg12 0.0000 0.5000 0.8817
Cd1 0.0000 0.0000 0.0000
```